The following is a PBE with a Hubbard U calculation of NaV2SeO8 after structural relaxation, from the Alexandria database.

a = 5.151 Å, b = 5.151 Å, c = 7.014 Å
α = 90.23°, β = 90.23°, γ = 66.57°
Sites, in units of the cell vectors:
1 Na 0.000 0.000 0.000
2 V 0.360 0.360 0.284
3 V 0.640 0.640 0.716
4 Se 0.000 0.000 0.500
5 O 0.211 0.743 0.303
6 O 0.221 0.221 0.468
7 O 0.257 0.789 0.697
8 O 0.278 0.278 0.073
9 O 0.722 0.722 0.927
10 O 0.743 0.211 0.303
11 O 0.779 0.779 0.532
12 O 0.789 0.257 0.697

D(E_F), states/eV/cell: 4.80
VASP energy, Ry per atom: -0.4666
Theoretical density, g cm⁻³: 3.2